Entry 1:
LiCa2Ag (PBE, relaxed); energy of formation = -0.021 eV/atom; total energy = -2.213 eV per atom; DOS(E_F) = 2.52 states/eV per cell; volume = 32.37 Å³ per atom; distance to the lowest polymorph of the same formula = 0.150 eV per atom; symmetry = R3m
1.0
2.0583 1.1884 8.8220
-2.0583 1.1884 8.8220
0.0000 -2.3767 8.8220
Li Ca Ag
1 2 1
Cartesian
0.0000 0.0000 0.0000
0.0000 0.0000 15.0707
0.0000 0.0000 20.1525
0.0000 0.0000 4.3640

---

Entry 2:
Li9CaAg2 (PBE, relaxed); energy of formation = -0.047 eV/atom; total energy = -2.125 eV per atom; DOS(E_F) = 5.39 states/eV per cell; volume = 20.86 Å³ per atom; distance to the lowest polymorph of the same formula = 0.039 eV per atom; symmetry = P6/mmm
1.0
9.4248 0.0000 0.0000
-4.7124 8.1621 0.0000
0.0000 0.0000 3.2544
Li Ca Ag
9 1 2
Cartesian
-2.3562 4.0811 0.0000
0.0000 3.1663 1.6272
-1.9703 6.5790 1.6272
2.7421 1.5832 1.6272
4.7124 0.0000 0.0000
2.3562 4.0811 0.0000
1.9703 6.5790 1.6272
6.6827 1.5832 1.6272
4.7124 4.9958 1.6272
0.0000 0.0000 0.0000
0.0000 5.4414 0.0000
4.7124 2.7207 0.0000

---

Entry 3:
Li4CaAg2 (PBE, relaxed); energy of formation = -0.179 eV/atom; total energy = -2.373 eV per atom; DOS(E_F) = 4.43 states/eV per cell; volume = 20.54 Å³ per atom; symmetry = P4_2/mnm
1.0
8.0965 0.0000 0.0000
0.0000 8.0965 0.0000
0.0000 0.0000 4.3866
Li Ca Ag
8 2 4
Cartesian
0.7556 2.8030 0.0000
1.2452 4.8039 2.1933
2.8030 0.7556 0.0000
3.2926 6.8512 2.1933
4.8039 1.2452 2.1933
5.2935 7.3409 0.0000
6.8512 3.2926 2.1933
7.3409 5.2935 0.0000
0.0000 0.0000 2.1933
4.0482 4.0482 0.0000
1.7602 6.3363 0.0000
2.2880 2.2880 2.1933
5.8085 5.8085 2.1933
6.3363 1.7602 0.0000

---

Entry 4:
LiCa12Ag6 (PBE, relaxed); energy of formation = -0.183 eV/atom; total energy = -2.448 eV per atom; DOS(E_F) = 14.85 states/eV per cell; volume = 32.06 Å³ per atom; distance to the lowest polymorph of the same formula = 0.000 eV per atom; symmetry = Im-3
1.0
-5.3403 5.3403 5.3403
5.3403 -5.3403 5.3403
5.3403 5.3403 -5.3403
Li Ca Ag
1 12 6
Cartesian
0.0000 0.0000 0.0000
5.3403 -2.1800 3.3898
3.1603 1.9504 0.0000
7.5203 1.9504 0.0000
3.3898 5.3403 -2.1800
1.9504 0.0000 3.1603
0.0000 3.1603 1.9504
5.3403 2.1800 3.3898
3.3898 5.3403 2.1800
1.9504 0.0000 7.5203
-2.1800 3.3898 5.3403
2.1800 3.3898 5.3403
0.0000 7.5203 1.9504
5.3403 0.0000 1.3841
5.3403 3.9562 0.0000
1.3841 5.3403 0.0000
3.9562 0.0000 5.3403
0.0000 1.3841 5.3403
0.0000 5.3403 3.9562

---

Look up the energy of formation of the fourth one. -0.183 eV/atom

---

The lowest energy of formation belongs to which entry? LiCa12Ag6

---

Which of these has the lowest volume? Li4CaAg2

---

Which formula does entry 3 have? Li4CaAg2